Entry 1:
Computed, not measured: an optimized crystal structure of AlFe3S at the PBEsol level of DFT.

CIF file:
```
data_AlFe3S
_chemical_formula_sum 'Al1 Fe3 S1'
_symmetry_space_group_name_H-M 'P 1'
_symmetry_Int_Tables_number 1
_cell_length_a 4.0381
_cell_length_b 4.0381
_cell_length_c 4.0381
_cell_angle_alpha 90.00
_cell_angle_beta 90.00
_cell_angle_gamma 90.00
loop_
_symmetry_equiv_pos_as_xyz
'x,y,z'
loop_
_atom_site_label
_atom_site_type_symbol
_atom_site_fract_x
_atom_site_fract_y
_atom_site_fract_z
_atom_site_occupancy
Fe1 Fe 0.5000 0.0000 0.0000 1
Fe2 Fe 0.0000 0.0000 0.5000 1
Fe3 Fe 0.0000 0.5000 0.0000 1
Al1 Al 0.5000 0.5000 0.5000 1
S1 S 0.0000 0.0000 0.0000 1
```

Formation energy without anion corrections   0.4 eV per formula unit
Space-group type   Pm-3m, No. 221
Total DFT energy (no corrections)   -6.992 eV per atom


Entry 2:
Computed, not measured: an optimized crystal structure of Al2FeSb at the PBEsol level of DFT.

CIF file:
```
data_Al2FeSb
_chemical_formula_sum 'Al2 Fe1 Sb1'
_symmetry_space_group_name_H-M 'P 1'
_symmetry_Int_Tables_number 1
_cell_length_a 3.8750
_cell_length_b 3.8750
_cell_length_c 4.3326
_cell_angle_alpha 90.00
_cell_angle_beta 90.00
_cell_angle_gamma 90.00
loop_
_symmetry_equiv_pos_as_xyz
'x,y,z'
loop_
_atom_site_label
_atom_site_type_symbol
_atom_site_fract_x
_atom_site_fract_y
_atom_site_fract_z
_atom_site_occupancy
Al1 Al 0.0000 0.5000 0.0000 1
Al2 Al 0.5000 0.0000 0.0000 1
Fe1 Fe 0.5000 0.5000 0.5000 1
Sb1 Sb 0.0000 0.0000 0.5000 1
```

Formation energy without anion corrections   1.1 eV per formula unit
Space-group type   P4/mmm, No. 123
Total DFT energy (no corrections)   -5.143 eV per atom


Entry 3:
Computed, not measured: an optimized crystal structure of AlFeSb4 at the PBEsol level of DFT.

CIF file:
```
data_AlFeSb4
_chemical_formula_sum 'Al1 Fe1 Sb4'
_symmetry_space_group_name_H-M 'P 1'
_symmetry_Int_Tables_number 1
_cell_length_a 6.0623
_cell_length_b 6.0623
_cell_length_c 6.0623
_cell_angle_alpha 60.00
_cell_angle_beta 60.00
_cell_angle_gamma 60.00
loop_
_symmetry_equiv_pos_as_xyz
'x,y,z'
loop_
_atom_site_label
_atom_site_type_symbol
_atom_site_fract_x
_atom_site_fract_y
_atom_site_fract_z
_atom_site_occupancy
Sb1 Sb 0.3752 0.8745 0.3752 1
Sb2 Sb 0.8745 0.3752 0.3752 1
Sb3 Sb 0.3752 0.3752 0.3752 1
Sb4 Sb 0.3752 0.3752 0.8745 1
Al1 Al 0.7500 0.7500 0.7500 1
Fe1 Fe 0.0000 0.0000 0.0000 1
```

Formation energy without anion corrections   5.0 eV per formula unit
Space-group type   F-43m, No. 216
Total DFT energy (no corrections)   -4.373 eV per atom


Entry 4:
Computed, not measured: an optimized crystal structure of AlFe6Sb at the PBEsol level of DFT.

CIF file:
```
data_AlFe6Sb
_chemical_formula_sum 'Al4 Fe24 Sb4'
_symmetry_space_group_name_H-M 'P 1'
_symmetry_Int_Tables_number 1
_cell_length_a 6.3380
_cell_length_b 6.3380
_cell_length_c 10.3935
_cell_angle_alpha 90.00
_cell_angle_beta 90.00
_cell_angle_gamma 109.85
loop_
_symmetry_equiv_pos_as_xyz
'x,y,z'
loop_
_atom_site_label
_atom_site_type_symbol
_atom_site_fract_x
_atom_site_fract_y
_atom_site_fract_z
_atom_site_occupancy
Al1 Al 0.5000 0.5000 0.2454 1
Al2 Al 0.5000 0.5000 0.7546 1
Al3 Al 0.7523 0.2477 0.0000 1
Al4 Al 0.2477 0.7523 0.0000 1
Fe1 Fe 0.8651 0.6201 0.6294 1
Fe2 Fe 0.7455 0.2545 0.2440 1
Fe3 Fe 0.1349 0.3799 0.6294 1
Fe4 Fe 0.8713 0.6176 0.1208 1
Fe5 Fe 0.1287 0.3824 0.8792 1
Fe6 Fe 0.1287 0.3824 0.1208 1
Fe7 Fe 0.3799 0.1349 0.6294 1
Fe8 Fe 0.6176 0.8713 0.1208 1
Fe9 Fe 0.8651 0.6201 0.3706 1
Fe10 Fe 0.2545 0.7455 0.2440 1
Fe11 Fe 0.7455 0.2545 0.7560 1
Fe12 Fe 0.8713 0.6176 0.8792 1
Fe13 Fe 0.5000 0.5000 0.5000 1
Fe14 Fe 0.6176 0.8713 0.8792 1
Fe15 Fe 0.3824 0.1287 0.1208 1
Fe16 Fe 0.6201 0.8651 0.3706 1
Fe17 Fe 0.2545 0.7455 0.7560 1
Fe18 Fe 0.0000 0.0000 0.5000 1
Fe19 Fe 0.3799 0.1349 0.3706 1
Fe20 Fe 0.6201 0.8651 0.6294 1
Fe21 Fe 0.1349 0.3799 0.3706 1
Fe22 Fe 0.3824 0.1287 0.8792 1
Fe23 Fe 0.0000 0.0000 0.0000 1
Fe24 Fe 0.5000 0.5000 0.0000 1
Sb1 Sb 0.7537 0.2463 0.5000 1
Sb2 Sb 0.0000 0.0000 0.2466 1
Sb3 Sb 0.0000 0.0000 0.7534 1
Sb4 Sb 0.2463 0.7537 0.5000 1
```

Formation energy without anion corrections   -0.1 eV per formula unit
Space-group type   Cmmm, No. 65
Total DFT energy (no corrections)   -7.816 eV per atom